[1]
Crystalline Be2Cr4Re3 at its relaxed geometry, computed with PBE.

Structure (POSCAR):
```
Be2Cr4Re3
1.0
-0.627 -0.739 -4.020
-0.454 -3.047 2.758
-7.193 1.850 0.781
Cr Be Re
4 2 3
Cartesian
-1.393 -1.303 -1.670
-6.880 -0.633 1.189
-2.480 0.621 0.272
-5.793 -2.557 -0.754
-3.740 -0.721 -1.411
-4.533 -1.215 0.930
-2.211 -1.854 0.685
0.000 0.000 0.000
-6.062 -0.083 -1.167
```



[2]
Crystalline Be2CrRe at its relaxed geometry, computed with PBE.

Structure (POSCAR):
```
Be2CrRe
1.0
2.633 0.000 0.000
0.000 2.633 0.000
0.000 0.000 6.306
Cr Be Re
1 2 1
Cartesian
0.000 0.000 2.912
0.000 0.000 0.262
1.317 1.317 1.398
1.317 1.317 4.888
```

Computed properties:
The offset from the most stable computed form comes out at 178 meV/atom.



What did we get for energy of formation from the pure elements? Answer: 57; 126 meV/atom, in the order shown.
What did we get for size of the total moment? Answer: 0.00; 1.67 Bohr magnetons per cell, in the order shown.